1.
{
  "formula": "Hf2Tl",
  "functional": "PBE",
  "state": "relaxed",
  "mass_density_g_cm3": 13.27,
  "e_above_lowest_polymorph_ev_per_atom": 0.366,
  "final_energy_ev_per_atom": -6.9997,
  "lattice_angstrom": [[4.127, -3.007, -2.826], [4.085, -2.884, 3.008], [-0.041, -5.834, 0.122]],
  "species": ["Hf", "Hf", "Hf", "Hf", "Tl", "Tl"],
  "fractional_positions": [[0.625, 0.625, 0.125], [0.625, 0.125, 0.625], [0.625, 0.625, 0.625], [0.125, 0.625, 0.625], [0.000, 0.000, 0.000], [0.250, 0.250, 0.250]]
}

---

2.
{
  "formula": "Hf2Tl",
  "functional": "PBE",
  "state": "relaxed",
  "mass_density_g_cm3": 14.25,
  "e_above_lowest_polymorph_ev_per_atom": 0.000,
  "final_energy_ev_per_atom": -7.3652,
  "lattice_angstrom": [[1.834, -1.306, -2.883], [-3.135, -1.207, -1.447], [0.070, 5.529, -0.140]],
  "species": ["Tl", "Hf", "Hf"],
  "fractional_positions": [[0.500, 0.500, 0.000], [0.167, 0.167, 0.335], [0.833, 0.833, 0.665]]
}

---

3.
{
  "formula": "HfUTl",
  "functional": "PBE",
  "state": "relaxed",
  "mass_density_g_cm3": 11.34,
  "e_above_lowest_polymorph_ev_per_atom": 0.260,
  "final_energy_ev_per_atom": -6.6229,
  "lattice_angstrom": [[0.000, 3.569, 3.569], [3.569, 0.000, 3.569], [3.569, 3.569, 0.000]],
  "species": ["Hf", "U", "Tl"],
  "fractional_positions": [[0.250, 0.250, 0.250], [0.000, 0.000, 0.000], [0.750, 0.750, 0.750]]
}

---

4.
{
  "formula": "HfUTl",
  "functional": "PBE",
  "state": "relaxed",
  "mass_density_g_cm3": 11.84,
  "e_above_lowest_polymorph_ev_per_atom": 0.000,
  "final_energy_ev_per_atom": -6.8825,
  "lattice_angstrom": [[0.000, 3.518, 3.518], [3.518, 0.000, 3.518], [3.518, 3.518, 0.000]],
  "species": ["Hf", "U", "Tl"],
  "fractional_positions": [[0.250, 0.250, 0.250], [0.750, 0.750, 0.750], [0.000, 0.000, 0.000]]
}

---

5.
{
  "formula": "Y2HfTl",
  "functional": "PBE",
  "state": "relaxed",
  "mass_density_g_cm3": 9.02,
  "final_energy_ev_per_atom": -6.1429,
  "lattice_angstrom": [[0.000, 3.722, 3.722], [3.722, 0.000, 3.722], [3.722, 3.722, 0.000]],
  "species": ["Hf", "Y", "Y", "Tl"],
  "fractional_positions": [[0.250, 0.250, 0.250], [0.000, 0.000, 0.000], [0.750, 0.750, 0.750], [0.500, 0.500, 0.500]]
}

---

6.
{
  "formula": "HfZrTlZn2",
  "functional": "PBE",
  "state": "relaxed",
  "mass_density_g_cm3": 10.49,
  "final_energy_ev_per_atom": -4.8394,
  "lattice_angstrom": [[-0.696, 1.494, 2.763], [6.774, -1.028, 2.263], [6.663, 2.761, 0.186]],
  "species": ["Zr", "Hf", "Zn", "Zn", "Tl"],
  "fractional_positions": [[0.000, 0.378, 0.378], [0.000, 0.623, 0.623], [0.500, 0.795, 0.795], [0.500, 0.203, 0.203], [0.500, 0.000, 0.000]]
}

---

7.
{
  "formula": "HfZr2Tl",
  "functional": "PBE",
  "state": "relaxed",
  "mass_density_g_cm3": 10.54,
  "final_energy_ev_per_atom": -7.2433,
  "lattice_angstrom": [[0.000, 3.544, 3.544], [3.544, 0.000, 3.544], [3.544, 3.544, 0.000]],
  "species": ["Tl", "Zr", "Zr", "Hf"],
  "fractional_positions": [[0.500, 0.500, 0.500], [0.000, 0.000, 0.000], [0.750, 0.750, 0.750], [0.250, 0.250, 0.250]]
}

---

8.
{
  "formula": "HfZrTl",
  "functional": "PBE",
  "state": "relaxed",
  "mass_density_g_cm3": 10.16,
  "e_above_lowest_polymorph_ev_per_atom": 0.000,
  "final_energy_ev_per_atom": -6.4893,
  "lattice_angstrom": [[2.036, -1.499, 4.063], [-2.582, -0.247, 4.022], [-1.172, -4.263, 1.833]],
  "species": ["Hf", "Zr", "Tl"],
  "fractional_positions": [[0.250, 0.250, 0.250], [0.750, 0.750, 0.750], [0.000, 0.000, 0.000]]
}

---

9.
{
  "formula": "HfZrTl2",
  "functional": "PBE",
  "state": "relaxed",
  "mass_density_g_cm3": 11.48,
  "final_energy_ev_per_atom": -5.2820,
  "lattice_angstrom": [[-4.310, -1.887, 2.161], [-2.455, 2.705, 3.669], [-4.580, 2.187, -1.023]],
  "species": ["Hf", "Tl", "Tl", "Zr"],
  "fractional_positions": [[0.500, 0.500, 0.500], [0.000, 0.000, 0.000], [0.250, 0.250, 0.250], [0.750, 0.750, 0.750]]
}

---

10.
{
  "formula": "TmHf2",
  "functional": "PBE",
  "state": "relaxed",
  "formation_enthalpy_0k_mev_per_atom": 119,
  "mass_density_g_cm3": 11.85,
  "e_above_lowest_polymorph_ev_per_atom": 0.000,
  "final_energy_ev_per_atom": -8.0094,
  "lattice_angstrom": [[-5.977, -0.979, 4.634], [-7.518, 0.937, 0.868], [6.391, -2.013, -3.640]],
  "species": ["Hf", "Hf", "Tm"],
  "fractional_positions": [[0.678, 0.678, 0.000], [0.322, 0.322, 0.000], [0.000, 0.000, 0.000]]
}

---

11.
{
  "formula": "TmHf2",
  "functional": "PBE",
  "state": "relaxed",
  "formation_enthalpy_0k_mev_per_atom": 3617,
  "mass_density_g_cm3": 3.52,
  "e_above_lowest_polymorph_ev_per_atom": 3.498,
  "final_energy_ev_per_atom": -4.5116,
  "lattice_angstrom": [[-2.153, 3.918, 7.682], [1.363, 8.717, 1.078], [-6.919, 5.568, 0.363]],
  "species": ["Hf", "Hf", "Hf", "Hf", "Tm", "Tm"],
  "fractional_positions": [[0.375, 0.375, 0.875], [0.375, 0.875, 0.375], [0.875, 0.375, 0.375], [0.375, 0.375, 0.375], [0.250, 0.250, 0.250], [0.500, 0.500, 0.500]]
}

---

12.
{
  "formula": "TmHf2",
  "functional": "PBE",
  "state": "relaxed",
  "formation_enthalpy_0k_mev_per_atom": 314,
  "mass_density_g_cm3": 11.33,
  "e_above_lowest_polymorph_ev_per_atom": 0.195,
  "final_energy_ev_per_atom": -7.8145,
  "lattice_angstrom": [[-5.971, 0.189, 0.722], [-3.136, 4.694, -2.085], [-3.629, -0.678, -4.753]],
  "species": ["Tm", "Tm", "Hf", "Hf", "Hf", "Hf"],
  "fractional_positions": [[0.250, 0.250, 0.250], [0.000, 0.000, 0.000], [0.125, 0.625, 0.625], [0.625, 0.625, 0.625], [0.625, 0.625, 0.125], [0.625, 0.125, 0.625]]
}

---

13.
{
  "formula": "TmHf",
  "functional": "PBE",
  "state": "relaxed",
  "formation_enthalpy_0k_mev_per_atom": 2514,
  "mass_density_g_cm3": 7.37,
  "final_energy_ev_per_atom": -4.7006,
  "lattice_angstrom": [[0.000, 3.396, 3.396], [3.396, 0.000, 3.396], [3.396, 3.396, 0.000]],
  "species": ["Tm", "Hf"],
  "fractional_positions": [[0.250, 0.250, 0.250], [0.000, 0.000, 0.000]]
}

---

14.
{
  "formula": "TmHf",
  "functional": "PBE",
  "state": "relaxed",
  "formation_enthalpy_0k_mev_per_atom": 1159,
  "mass_density_g_cm3": 10.28,
  "final_energy_ev_per_atom": -6.0557,
  "lattice_angstrom": [[1.581, 0.034, 3.996], [-2.240, 1.826, 3.182], [-1.796, -2.447, 3.043]],
  "species": ["Hf", "Tm"],
  "fractional_positions": [[0.000, 0.000, 0.000], [0.500, 0.500, 0.500]]
}

---

15.
{
  "formula": "TmHfU",
  "functional": "PBE",
  "state": "relaxed",
  "formation_enthalpy_0k_mev_per_atom": 1166,
  "mass_density_g_cm3": 10.55,
  "e_above_lowest_polymorph_ev_per_atom": 0.000,
  "final_energy_ev_per_atom": -7.4091,
  "lattice_angstrom": [[0.000, 3.585, 3.585], [3.585, 0.000, 3.585], [3.585, 3.585, 0.000]],
  "species": ["Hf", "U", "Tm"],
  "fractional_positions": [[0.000, 0.000, 0.000], [0.750, 0.750, 0.750], [0.250, 0.250, 0.250]]
}

---

16.
{
  "formula": "TmHfW",
  "functional": "PBE",
  "state": "relaxed",
  "formation_enthalpy_0k_mev_per_atom": 695,
  "mass_density_g_cm3": 12.24,
  "e_above_lowest_polymorph_ev_per_atom": 0.000,
  "final_energy_ev_per_atom": -8.4353,
  "lattice_angstrom": [[2.497, -2.167, 3.300], [2.416, 2.500, 3.120], [-1.392, 0.149, 4.457]],
  "species": ["Hf", "Tm", "W"],
  "fractional_positions": [[0.250, 0.250, 0.250], [0.750, 0.750, 0.750], [0.000, 0.000, 0.000]]
}

---

17.
{
  "formula": "TmHf2W4",
  "functional": "PBE",
  "state": "relaxed",
  "formation_enthalpy_0k_mev_per_atom": 787,
  "mass_density_g_cm3": 14.75,
  "final_energy_ev_per_atom": -10.1024,
  "lattice_angstrom": [[-2.250, -2.746, -4.175], [-3.402, -2.513, 3.486], [-3.158, 3.471, -0.580]],
  "species": ["Tm", "W", "W", "W", "W", "Hf", "Hf"],
  "fractional_positions": [[0.000, 0.000, 0.000], [0.260, 0.260, 0.500], [0.740, 0.740, 0.500], [0.260, 0.740, 0.500], [0.740, 0.260, 0.500], [0.500, 0.000, 0.000], [0.000, 0.500, 0.000]]
}

---

18.
{
  "formula": "YTmHf",
  "functional": "PBE",
  "state": "relaxed",
  "formation_enthalpy_0k_mev_per_atom": 872,
  "mass_density_g_cm3": 7.43,
  "e_above_lowest_polymorph_ev_per_atom": 0.000,
  "final_energy_ev_per_atom": -6.0929,
  "lattice_angstrom": [[-2.449, 2.527, 3.782], [-4.197, 2.815, -1.071], [-4.652, -1.595, 1.581]],
  "species": ["Hf", "Y", "Tm"],
  "fractional_positions": [[0.000, 0.000, 0.000], [0.750, 0.750, 0.750], [0.250, 0.250, 0.250]]
}

---

19.
{
  "formula": "TmHfZn",
  "functional": "PBE",
  "state": "relaxed",
  "formation_enthalpy_0k_mev_per_atom": 258,
  "mass_density_g_cm3": 9.52,
  "e_above_lowest_polymorph_ev_per_atom": 0.000,
  "final_energy_ev_per_atom": -4.9741,
  "lattice_angstrom": [[-3.058, -3.385, 0.994], [-4.264, 0.075, -1.900], [-1.157, -3.133, -3.263]],
  "species": ["Tm", "Zn", "Hf"],
  "fractional_positions": [[0.750, 0.750, 0.750], [0.000, 0.000, 0.000], [0.250, 0.250, 0.250]]
}

---

20.
{
  "formula": "YHfU",
  "functional": "PBE",
  "state": "relaxed",
  "formation_enthalpy_0k_mev_per_atom": 1190,
  "mass_density_g_cm3": 9.54,
  "e_above_lowest_polymorph_ev_per_atom": 0.000,
  "final_energy_ev_per_atom": -8.0489,
  "lattice_angstrom": [[0.000, 3.531, 3.531], [3.531, 0.000, 3.531], [3.531, 3.531, 0.000]],
  "species": ["U", "Y", "Hf"],
  "fractional_positions": [[0.250, 0.250, 0.250], [0.750, 0.750, 0.750], [0.000, 0.000, 0.000]]
}

---

21.
{
  "formula": "HfZrU",
  "functional": "PBE",
  "state": "relaxed",
  "formation_enthalpy_0k_mev_per_atom": 1014,
  "mass_density_g_cm3": 10.91,
  "e_above_lowest_polymorph_ev_per_atom": 0.000,
  "final_energy_ev_per_atom": -8.9192,
  "lattice_angstrom": [[-3.793, -2.694, -1.103], [-4.391, 1.888, 0.127], [-2.385, 0.781, -4.070]],
  "species": ["U", "Hf", "Zr"],
  "fractional_positions": [[0.250, 0.250, 0.250], [0.000, 0.000, 0.000], [0.750, 0.750, 0.750]]
}

---

22.
{
  "formula": "HfW",
  "functional": "PBE",
  "state": "relaxed",
  "formation_enthalpy_0k_mev_per_atom": 1237,
  "mass_density_g_cm3": 14.42,
  "final_energy_ev_per_atom": -10.2212,
  "lattice_angstrom": [[0.000, 2.753, 2.753], [2.753, 0.000, 2.753], [2.753, 2.753, 0.000]],
  "species": ["W", "Hf"],
  "fractional_positions": [[0.500, 0.500, 0.500], [0.000, 0.000, 0.000]]
}

---

23.
{
  "formula": "HfW",
  "functional": "PBE",
  "state": "relaxed",
  "formation_enthalpy_0k_mev_per_atom": 462,
  "mass_density_g_cm3": 16.06,
  "final_energy_ev_per_atom": -10.9962,
  "lattice_angstrom": [[-1.327, -0.815, 2.478], [0.502, -1.968, -2.107], [4.491, -1.058, 2.058]],
  "species": ["Hf", "W"],
  "fractional_positions": [[0.667, 0.333, 0.750], [0.333, 0.667, 0.250]]
}

---

24.
{
  "formula": "HfW",
  "functional": "PBE",
  "state": "relaxed",
  "formation_enthalpy_0k_mev_per_atom": 2875,
  "mass_density_g_cm3": 10.54,
  "final_energy_ev_per_atom": -8.5830,
  "lattice_angstrom": [[0.000, 3.056, 3.056], [3.056, 0.000, 3.056], [3.056, 3.056, 0.000]],
  "species": ["Hf", "W"],
  "fractional_positions": [[0.000, 0.000, 0.000], [0.250, 0.250, 0.250]]
}

---

25.
{
  "formula": "HfZnW",
  "functional": "PBE",
  "state": "relaxed",
  "formation_enthalpy_0k_mev_per_atom": 660,
  "mass_density_g_cm3": 12.53,
  "e_above_lowest_polymorph_ev_per_atom": 0.000,
  "final_energy_ev_per_atom": -7.3997,
  "lattice_angstrom": [[-2.603, -3.188, -1.285], [-2.940, -1.609, 2.713], [-4.191, 0.772, -0.658]],
  "species": ["Hf", "Zn", "W"],
  "fractional_positions": [[0.250, 0.250, 0.250], [0.000, 0.000, 0.000], [0.750, 0.750, 0.750]]
}

---

26.
{
  "formula": "Hf2ZnW",
  "functional": "PBE",
  "state": "relaxed",
  "formation_enthalpy_0k_mev_per_atom": 269,
  "mass_density_g_cm3": 13.97,
  "final_energy_ev_per_atom": -8.2653,
  "lattice_angstrom": [[-3.565, 2.663, 1.423], [-0.410, 4.384, -1.561], [-3.423, 1.108, -2.980]],
  "species": ["W", "Hf", "Hf", "Zn"],
  "fractional_positions": [[0.500, 0.500, 0.500], [0.000, 0.000, 0.000], [0.750, 0.750, 0.750], [0.250, 0.250, 0.250]]
}

---

27.
{
  "formula": "HfZrW2",
  "functional": "PBE",
  "state": "relaxed",
  "formation_enthalpy_0k_mev_per_atom": 139,
  "mass_density_g_cm3": 14.35,
  "final_energy_ev_per_atom": -10.9664,
  "lattice_angstrom": [[0.000, 3.329, 3.329], [3.329, 0.000, 3.329], [3.329, 3.329, 0.000]],
  "species": ["W", "W", "Zr", "Hf"],
  "fractional_positions": [[0.000, 0.000, 0.000], [0.750, 0.750, 0.750], [0.500, 0.500, 0.500], [0.250, 0.250, 0.250]]
}

---

28.
{
  "formula": "HfZrW",
  "functional": "PBE",
  "state": "relaxed",
  "formation_enthalpy_0k_mev_per_atom": 524,
  "mass_density_g_cm3": 11.03,
  "e_above_lowest_polymorph_ev_per_atom": 0.000,
  "final_energy_ev_per_atom": -9.9635,
  "lattice_angstrom": [[0.000, 3.244, 3.244], [3.244, 0.000, 3.244], [3.244, 3.244, 0.000]],
  "species": ["W", "Zr", "Hf"],
  "fractional_positions": [[0.000, 0.000, 0.000], [0.750, 0.750, 0.750], [0.250, 0.250, 0.250]]
}

---

29.
{
  "formula": "Y2Hf",
  "functional": "PBE",
  "state": "relaxed",
  "formation_enthalpy_0k_mev_per_atom": 2561,
  "mass_density_g_cm3": 2.37,
  "final_energy_ev_per_atom": -5.0680,
  "lattice_angstrom": [[-4.670, 4.295, 6.247], [3.270, 7.412, 3.694], [-3.689, 7.892, -1.839]],
  "species": ["Hf", "Hf", "Y", "Y", "Y", "Y"],
  "fractional_positions": [[0.250, 0.250, 0.250], [0.500, 0.500, 0.500], [0.375, 0.375, 0.375], [0.375, 0.375, 0.875], [0.375, 0.875, 0.375], [0.875, 0.375, 0.375]]
}

---

30.
{
  "formula": "Y2Hf",
  "functional": "PBE",
  "state": "relaxed",
  "formation_enthalpy_0k_mev_per_atom": 649,
  "mass_density_g_cm3": 6.89,
  "final_energy_ev_per_atom": -6.9795,
  "lattice_angstrom": [[-5.343, -3.216, 0.139], [-5.459, 3.011, -0.213], [-3.561, -0.355, -5.110]],
  "species": ["Y", "Y", "Y", "Y", "Hf", "Hf"],
  "fractional_positions": [[0.625, 0.125, 0.625], [0.625, 0.625, 0.125], [0.125, 0.625, 0.625], [0.625, 0.625, 0.625], [0.250, 0.250, 0.250], [0.000, 0.000, 0.000]]
}

---

31.
{
  "formula": "Y2Hf",
  "functional": "PBE",
  "state": "relaxed",
  "formation_enthalpy_0k_mev_per_atom": 164,
  "mass_density_g_cm3": 7.03,
  "final_energy_ev_per_atom": -7.4649,
  "lattice_angstrom": [[2.420, -7.298, 0.000], [2.420, 7.298, 0.000], [0.000, 0.000, 4.769]],
  "species": ["Hf", "Hf", "Y", "Y", "Y", "Y"],
  "fractional_positions": [[0.574, 0.426, 0.750], [0.426, 0.574, 0.250], [0.078, 0.922, 0.250], [0.250, 0.750, 0.750], [0.922, 0.078, 0.750], [0.750, 0.250, 0.250]]
}